Record 1
The following is a GGA+U calculation of a relaxed structure of NaCoNO, from OQMD.

The structure belongs to space group Pca2_1 (No. 29); the cell edges are 5.528, 7.548 and 4.948 Å and the angles 90.00°, 90.00° and 90.00°. Symmetry generates all atoms from Na at (0.048, 0.143, 0.000), Co at (0.073, 0.620, 0.990), N at (0.004, 0.168, 0.502) and O at (0.102, 0.582, 0.594).

For the polymorph energy (0 for the lowest one), the calculation gives 0.127 eV per atom. The total energy comes out at -20.10 eV per formula unit.

=====

Record 2
The following is a GGA+U calculation of a relaxed structure of NaCoNO, from OQMD.

The structure belongs to space group Pmc2_1 (No. 26); the cell edges are 3.080, 6.012 and 5.310 Å and the angles 90.00°, 90.00° and 90.00°. Symmetry generates all atoms from Na at (0.000, 0.185, 0.000), Co at (0.500, 0.333, 0.504), N at (0.000, 0.211, 0.458) and O at (0.500, 0.405, 0.837).

For the polymorph energy (0 for the lowest one), the calculation gives 0.036 eV per atom. The total energy comes out at -20.46 eV per formula unit.

=====

Record 3
The following is a GGA+U calculation of a relaxed structure of NaCoNO, from OQMD.

The structure belongs to space group P4/nmm (No. 129, origin choice 2); the cell edges are 3.909, 3.909 and 6.642 Å and the angles 90.00°, 90.00° and 90.00°. Symmetry generates all atoms from Na at (0.250, 0.750, 0.000), Co at (0.250, 0.250, 0.429), N at (0.250, 0.250, 0.180) and O at (0.250, 0.750, 0.500).

For the polymorph energy (0 for the lowest one), the calculation gives 0.423 eV per atom. The total energy comes out at -18.91 eV per formula unit.

=====

Record 4
The following is a GGA+U calculation of a relaxed structure of NaCoNO, from OQMD.

The structure belongs to space group Pmc2_1 (No. 26); the cell edges are 3.146, 6.065 and 5.300 Å and the angles 90.00°, 90.00° and 90.00°. Symmetry generates all atoms from Na at (0.000, 0.170, 0.000), Co at (0.500, 0.351, 0.498), N at (0.500, 0.413, 0.815) and O at (0.000, 0.195, 0.430).

For the polymorph energy (0 for the lowest one), the calculation gives 0.000 eV per atom. The total energy comes out at -20.61 eV per formula unit.